Entry 1:
Below is a geometry-optimized Y3WCl structure, with properties calculated at the GGA-PBE level.

VASP energy in eV/atom: -6.60
V in Å³ per atom: 25.67
Raw formation energy in meV/atom: 240

Lattice parameters (Å, degrees): 5.0440 5.0440 5.0440 90.00 90.00 90.00
With the nearest neighbours (Å) after each atom.
Space group Pm-3m (No. 221)
Asymmetric unit:
Y 0.0000 0.0000 0.5000 (multiplicity 3)  2 Cl 2.52
W 0.5000 0.5000 0.5000 (multiplicity 1)  12 Y 3.57
Cl 0.0000 0.0000 0.0000 (multiplicity 1)  6 Y 2.52

=====

Entry 2:
Below is a geometry-optimized YW2Cl structure, with properties calculated at the GGA-PBE level.

VASP energy in eV/atom: -8.19
V in Å³ per atom: 20.00
Raw formation energy in meV/atom: 362

Lattice parameters (Å, degrees): 3.1454 4.3045 5.9077 90.00 90.00 90.00
With the nearest neighbours (Å) after each atom.
Space group Pmmm (No. 47)
Asymmetric unit:
Y 0.0000 0.0000 0.0000 (multiplicity 1)  4 Cl 2.67
W 0.0000 0.5000 0.5000 (multiplicity 1)  4 W 2.67
W 0.5000 0.0000 0.5000 (multiplicity 1)  4 W 2.67
Cl 0.5000 0.5000 0.0000 (multiplicity 1)  4 Y 2.67

=====

Entry 3:
Below is a geometry-optimized YWCl2 structure, with properties calculated at the GGA-PBE level.

VASP energy in eV/atom: -5.49
V in Å³ per atom: 18.04
Raw formation energy in meV/atom: 290

Lattice parameters (Å, degrees): 4.5085 4.5085 3.5503 90.00 90.00 90.00
With the nearest neighbours (Å) after each atom.
Space group P4/mmm (No. 123)
Asymmetric unit:
Y 0.0000 0.0000 0.0000 (multiplicity 1)  8 Cl 2.87, 4 W 3.19
W 0.5000 0.5000 0.0000 (multiplicity 1)  8 Cl 2.87, 4 Y 3.19
Cl 0.0000 0.5000 0.5000 (multiplicity 2)  4 W 2.87, 4 Y 2.87, 4 Cl 3.19

=====

Entry 4:
Below is a geometry-optimized YWCl2 structure, with properties calculated at the GGA-PBE level.

VASP energy in eV/atom: -6.00
V in Å³ per atom: 25.82
Raw formation energy in meV/atom: -225

Lattice parameters (Å, degrees): 3.3988 4.7323 12.8403 90.00 90.00 90.00
With the nearest neighbours (Å) after each atom.
Space group Immm (No. 71)
Asymmetric unit:
Y 0.0000 0.0000 0.0000 (multiplicity 2)  4 W 2.91, 4 Cl 3.01
W 0.0000 0.0000 0.5000 (multiplicity 2)  4 Cl 2.52
Cl 0.0000 0.5000 0.1446 (multiplicity 4)  2 W 2.52

=====

Entry 5:
Below is a geometry-optimized YWCl2 structure, with properties calculated at the GGA-PBE level.

VASP energy in eV/atom: -6.04
V in Å³ per atom: 19.33
Raw formation energy in meV/atom: -264

Lattice parameters (Å, degrees): 3.1560 3.1560 26.8894 90.00 90.00 120.00
With the nearest neighbours (Å) after each atom.
Space group R-3m (No. 166, hexagonal axes)
Asymmetric unit:
Y 0.0000 0.0000 0.0000 (multiplicity 3)  6 Cl 2.76
W 0.0000 0.0000 0.5000 (multiplicity 3)  2 Cl 2.41
Cl 0.0000 0.0000 0.4103 (multiplicity 6)  1 W 2.41

=====

Entry 6:
Below is a geometry-optimized YW2Cl structure, with properties calculated at the GGA-PBE level.

VASP energy in eV/atom: -8.34
V in Å³ per atom: 23.52
Raw formation energy in meV/atom: 216

Lattice parameters (Å, degrees): 8.0859 3.1776 8.2279 90.00 117.11 90.00
With the nearest neighbours (Å) after each atom.
Space group Cm (No. 8)
Asymmetric unit:
Y 0.0000 0.0000 0.0000 (multiplicity 2)  3 W 2.85-3.02, 2 Cl 2.88, 2 Y 3.18
W 0.1296 0.5000 0.3886 (multiplicity 2)  3 W 2.48-2.62, 2 Cl 2.67
W 0.3406 0.5000 0.2451 (multiplicity 2)  3 W 2.48-2.62
Cl 0.2815 0.0000 0.6814 (multiplicity 2)  2 W 2.67, 2 Y 2.88

=====

Entry 7:
Below is a geometry-optimized YWCl structure, with properties calculated at the GGA-PBE level.

VASP energy in eV/atom: -6.59
V in Å³ per atom: 19.92
Raw formation energy in meV/atom: 495

Lattice parameters (Å, degrees): 4.7555 4.7555 3.0517 90.00 90.00 120.00
With the nearest neighbours (Å) after each atom.
Space group P-6m2 (No. 187)
Asymmetric unit:
Y 0.0000 0.0000 0.0000 (multiplicity 1)  2 Y 3.05, 6 Cl 3.14, 6 W 3.14
W 0.3333 0.6667 0.5000 (multiplicity 1)  3 Cl 2.75, 2 W 3.05
Cl 0.6667 0.3333 0.5000 (multiplicity 1)  3 W 2.75, 2 Cl 3.05

=====

Entry 8:
Below is a geometry-optimized YW2Cl structure, with properties calculated at the GGA-PBE level.

VASP energy in eV/atom: -8.30
V in Å³ per atom: 20.53
Raw formation energy in meV/atom: 258

Lattice parameters (Å, degrees): 3.1032 4.3408 6.0950 90.00 90.00 90.00
With the nearest neighbours (Å) after each atom.
Space group Pmm2 (No. 25)
Asymmetric unit:
Y 0.0000 0.0000 0.0000 (multiplicity 1)  4 Cl 2.67
W 0.0000 0.0000 0.4936 (multiplicity 1)  4 W 2.70, 1 Y 3.01
W 0.5000 0.5000 0.4209 (multiplicity 1)  1 Cl 2.43, 4 W 2.70
Cl 0.5000 0.5000 0.0215 (multiplicity 1)  1 W 2.43, 4 Y 2.67

=====

Looking at total moment for the records above, in order, we have 0.000 0.000 0.490 0.122 0.000 0.000 0.000 0.000 μB per cell.